Entry from Alexandria via LeMat-Bulk: a geometry-optimized ReGe3N structure (PBEsol).

Geometry as POSCAR:
```
ReGe3N
1.0
-3.0259 3.2590 1.6602
-0.3530 -2.4049 4.0774
3.6405 2.4757 1.7754
Re Ge N
1 3 1
Direct
0.0000 0.0000 0.0000
0.0000 0.5000 0.0000
0.0000 0.0000 0.5000
0.5000 0.0000 0.0000
0.5000 0.5000 0.5000
```

Results
ΔE to the lowest computed polymorph (meV/atom): 277.5
Energy (eV for the cell shown): -30.76
Space group: No. 221
Total moment (μB per cell): 2.000